(1)
SmY2Er12 after structural relaxation. Source: the Alexandria database, functional GGA-PBE.

abc: 6.358 6.358 24.839
angles: 90.00 90.00 90.00
Element x y z (fractional)
Er: 0.669 0.831 0.560
Er: 0.831 0.331 0.560
Sm: 0.500 0.000 0.000
Y: 0.000 0.500 0.276
Y: 0.500 0.000 0.276
Er: 0.831 0.669 0.440
Er: 0.500 0.500 0.783
Sm: 0.000 0.500 0.000
Er: 0.331 0.169 0.560
Er: 0.184 0.316 0.118
Er: 0.500 0.500 0.341
Er: 0.000 0.000 0.659
Y: 0.500 0.000 0.724
Er: 0.000 0.000 0.341
Er: 0.169 0.331 0.440
Er: 0.169 0.669 0.560
Y: 0.000 0.500 0.724
Er: 0.184 0.684 0.882
Er: 0.684 0.184 0.118
Er: 0.816 0.316 0.882
Er: 0.816 0.684 0.118
Er: 0.500 0.500 0.659
Er: 0.316 0.184 0.882
Er: 0.500 0.500 0.217
Er: 0.000 0.000 0.217
Er: 0.331 0.831 0.440
Er: 0.669 0.169 0.440
Er: 0.316 0.816 0.118
Er: 0.000 0.000 0.783
Er: 0.684 0.816 0.882

Output
Calculated volume = 1004.0 Å³/cell

***

(2)
DyB3Ru3 after structural relaxation. Source: the Alexandria database, functional GGA-PBE.

abc: 7.743 6.777 7.135
angles: 97.96 75.88 93.56
Element x y z (fractional)
Ru: 0.144 0.176 0.148
Dy: 0.546 0.417 0.468
B: 0.466 0.607 0.830
B: 0.891 0.484 0.582
Ru: 0.219 0.824 0.359
B: 0.598 0.832 0.648
Ru: 0.674 0.354 0.813
B: 0.954 0.394 0.316
Dy: 0.486 0.000 0.029
Ru: 0.854 0.929 0.086
Ru: 0.851 0.685 0.366
Ru: 0.548 0.922 0.399
Ru: 0.764 0.717 0.792
B: 0.048 0.890 0.808
B: 0.039 0.710 0.611
Dy: 0.085 0.534 0.941
Ru: 0.250 0.127 0.694
B: 0.279 0.145 0.392
Dy: 0.901 0.085 0.556
B: 0.399 0.322 0.865
Ru: 0.315 0.749 0.683
B: 0.545 0.108 0.674
Ru: 0.435 0.553 0.118
Ru: 0.172 0.443 0.450
Ru: 0.796 0.304 0.109
B: 0.003 0.143 0.909
B: 0.687 0.664 0.145
B: 0.051 0.882 0.209

Output
Calculated volume = 359.4 Å³/cell
Energy above the most stable polymorph in this dataset = 0.0 meV per atom

***

| no. | E_form (eV per formula unit) |
| --- | --- |
| 1 | 4.80 |
| 2 | -1.67 |